[1]
PBE Pm5Si5Ag2, relaxed; total magnetic moment = 0.0 μB per formula unit; E_form (uncorrected) = -529 kJ/mol of formula units
1.0
4.303 0.000 0.000
-2.152 5.718 -1.370
0.000 -4.756 12.238
Pm Si Ag
5 5 2
Direct
0.500 0.000 0.500
0.346 0.693 0.727
0.654 0.307 0.273
0.658 0.316 0.003
0.342 0.684 0.997
0.816 0.632 0.541
0.295 0.589 0.206
0.184 0.368 0.459
0.000 0.000 0.000
0.705 0.411 0.794
0.938 0.875 0.264
0.062 0.125 0.736


[2]
PBE NaHRh3, relaxed; total magnetic moment = 3.9 μB per formula unit; offset from the most stable computed form = 2146.5 meV/atom
1.0
-3.435 -1.456 2.743
2.777 -3.272 1.741
1.390 2.936 3.300
H Rh Na
1 3 1
Direct
0.500 0.500 0.500
0.000 0.000 0.500
0.000 0.500 0.000
0.500 0.000 0.000
0.000 0.000 0.000